# Mg30CrNiO32 PBE+U optimized geometry
# - calculated total energy (eV for the cell shown) = -383.0
# - V (A^3/atom) = 9.63
data_Mg30CrNiO32
_symmetry_space_group_name_H-M 'P 4/m m m'
_symmetry_Int_Tables_number 123
_symmetry_space_group_name_Hall '-P 4 2'
_cell_length_a 8.515
_cell_length_b 8.515
_cell_length_c 8.498
_cell_angle_alpha 90.00
_cell_angle_beta 90.00
_cell_angle_gamma 90.00
loop_
_atom_site_label
_atom_site_type_symbol
_atom_site_fract_x
_atom_site_fract_y
_atom_site_fract_z
Mg1 Mg 0.000 0.000 0.000
Mg2 Mg 0.000 0.000 0.500
Mg3 Mg 0.000 0.250 0.250
Mg4 Mg 0.000 0.500 0.000
Mg5 Mg 0.000 0.500 0.500
Mg6 Mg 0.250 0.250 0.000
Mg7 Mg 0.250 0.500 0.250
Mg8 Mg 0.251 0.251 0.500
Cr1 Cr 0.500 0.500 0.500
Ni1 Ni 0.500 0.500 0.000
O1 O 0.000 0.000 0.250
O2 O 0.000 0.250 0.000
O3 O 0.000 0.250 0.500
O4 O 0.000 0.500 0.249
O5 O 0.245 0.500 0.500
O6 O 0.250 0.250 0.250
O7 O 0.250 0.500 0.000
O8 O 0.500 0.500 0.252